1.
VASP calculation (GGA-PBE) on crystalline RbRhO3 at its relaxed geometry.

The space group is Pmmm (No. 47) and the conventional cell measures 3.1272, 3.7928 and 6.0668 Å, with angles of 90.00, 90.00 and 90.00 degrees. Symmetry generates all atoms from Rb at (0.0000, 0.0000, 0.0000), Rh at (0.0000, 0.5000, 0.5000), O at (0.0000, 0.0000, 0.5000) and O at (0.5000, 0.5000, 0.2859).

The formation energy without anion corrections is -0.860 eV/atom. For the total magnetization, the calculation gives 0.76 μB/cell.

2.
VASP calculation (GGA-PBE) on crystalline FeTcTe2 at its relaxed geometry.

The space group is R-3m (No. 166, hexagonal axes) and the conventional cell measures 3.3430, 3.3430 and 23.1673 Å, with angles of 90.00, 90.00 and 120.00 degrees. Symmetry generates all atoms from Fe at (0.0000, 0.0000, 0.0000), Tc at (0.0000, 0.0000, 0.5000) and Te at (0.0000, 0.0000, 0.2520).

The calculation puts the energy above the most stable polymorph in this dataset at 372.9 meV/atom. The formation energy without anion corrections is 0.359 eV/atom. For the total magnetization, the calculation gives 4.97 μB/cell.

3.
VASP calculation (GGA-PBE) on crystalline SrMgIr2 at its relaxed geometry.

The space group is Cm (No. 8) and the conventional cell measures 11.1980, 2.9839 and 5.3028 Å, with angles of 90.00, 115.56 and 90.00 degrees. Symmetry generates all atoms from Sr at (0.0000, 0.0000, 0.0000), Mg at (0.3063, 0.5000, 0.3577), Ir at (0.0421, 0.5000, 0.5240) and Ir at (0.2343, 0.0000, 0.8685).

For the total magnetization, the calculation gives 0.00 μB/cell. Its formation energy is 0.00 eV/atom.

4.
VASP calculation (GGA-PBE) on crystalline Co2NiP at its relaxed geometry.

The space group is Amm2 (No. 38) and the conventional cell measures 3.5441, 2.6791 and 9.2666 Å, with angles of 90.00, 90.00 and 90.00 degrees. Symmetry generates all atoms from Co at (0.0000, 0.0000, 0.0000), Co at (0.5000, 0.0000, 0.3823), Ni at (0.5000, 0.0000, 0.6481) and P at (0.0000, 0.0000, 0.2414).

For the total magnetization, the calculation gives 5.06 μB/cell. Its formation energy is -0.17 eV/atom.

5.
VASP calculation (GGA-PBE) on crystalline Li2TaIn at its relaxed geometry.

The space group is Pmmm (No. 47) and the conventional cell measures 2.8198, 4.4338 and 5.8236 Å, with angles of 90.00, 90.00 and 90.00 degrees. Symmetry generates all atoms from Li at (0.0000, 0.0000, 0.2458), Ta at (0.5000, 0.5000, 0.0000) and In at (0.5000, 0.5000, 0.5000).

For the total magnetization, the calculation gives 0.00 μB/cell. Its formation energy is 0.29 eV/atom.

6.
VASP calculation (GGA-PBE) on crystalline Sm2Y3Se6 at its relaxed geometry.

The space group is C2/m (No. 12) and the conventional cell measures 7.1207, 12.2761 and 7.1177 Å, with angles of 90.00, 109.43 and 90.00 degrees. Symmetry generates all atoms from Sm at (0.0000, 0.1650, 0.0000), Y at (0.0000, 0.0000, 0.5000), Y at (0.0000, 0.3344, 0.5000), Se at (0.2425, 0.5000, 0.7493) and Se at (0.2484, 0.3360, 0.2538).

The calculation puts the energy above the most stable polymorph in this dataset at 0.0 meV/atom. The formation energy without anion corrections is -1.884 eV/atom. For the total magnetization, the calculation gives 0.00 μB/cell.

7.
VASP calculation (GGA-PBE) on crystalline SmCuHgRh at its relaxed geometry.

The space group is F-43m (No. 216) and the conventional cell measures 6.7689, 6.7689 and 6.7689 Å, with angles of 90.00, 90.00 and 90.00 degrees. Symmetry generates all atoms from Sm at (0.0000, 0.0000, 0.0000), Cu at (0.2500, 0.2500, 0.7500), Hg at (0.0000, 0.0000, 0.5000) and Rh at (0.2500, 0.2500, 0.2500).

For the total magnetization, the calculation gives 0.00 μB/cell. Its formation energy is -0.27 eV/atom.

8.
VASP calculation (GGA-PBE) on crystalline Pd2Pt4Pb at its relaxed geometry.

The space group is C2/m (No. 12) and the conventional cell measures 8.8114, 4.0604 and 6.5800 Å, with angles of 90.00, 99.20 and 90.00 degrees. Symmetry generates all atoms from Pd at (0.2128, 0.0000, 0.1458), Pt at (0.0722, 0.0000, 0.7029), Pt at (0.1440, 0.5000, 0.4343) and Pb at (0.0000, 0.5000, 0.0000).

For the total magnetization, the calculation gives 0.00 μB/cell. Its formation energy is -0.10 eV/atom.

9.
VASP calculation (GGA-PBE) on crystalline BaMn2Al at its relaxed geometry.

The space group is R-3m (No. 166, hexagonal axes) and the conventional cell measures 4.4579, 4.4579 and 17.5127 Å, with angles of 90.00, 90.00 and 120.00 degrees. Symmetry generates all atoms from Ba at (0.0000, 0.0000, 0.0000), Mn at (0.0000, 0.0000, 0.1941) and Al at (0.0000, 0.0000, 0.5000).

For the total magnetization, the calculation gives 20.34 μB/cell. Its formation energy is 0.26 eV/atom.

10.
VASP calculation (GGA-PBE) on crystalline SrLi2Ag2Bi2 at its relaxed geometry.

The space group is R-3m (No. 166, hexagonal axes) and the conventional cell measures 4.8463, 4.8463 and 25.7696 Å, with angles of 90.00, 90.00 and 120.00 degrees. Symmetry generates all atoms from Sr at (0.0000, 0.0000, 0.0000), Li at (0.0000, 0.0000, 0.1395), Ag at (0.0000, 0.0000, 0.4417) and Bi at (0.0000, 0.0000, 0.2526).

For the total magnetization, the calculation gives 0.00 μB/cell. Its formation energy is -0.47 eV/atom.